# K2CrPt (GGA-PBE, relaxed)
# **Excess energy over the best structure of this formula in the dataset**: 512.6 meV per atom
# **E_form**: 0.78 eV/atom
data_K2CrPt
_chemical_formula_sum 'K8 Cr4 Pt4'
_space_group_name_H-M_alt 'F m -3 m'
_space_group_IT_number 225
_space_group_name_Hall '-F 4 2 3'
_cell_length_a 7.7471
_cell_length_b 7.7471
_cell_length_c 7.7471
_cell_angle_alpha 90.00
_cell_angle_beta 90.00
_cell_angle_gamma 90.00
loop_
_atom_site_label
_atom_site_type_symbol
_atom_site_fract_x
_atom_site_fract_y
_atom_site_fract_z
K1 K 0.2500 0.2500 0.2500
Cr1 Cr 0.0000 0.0000 0.0000
Pt1 Pt 0.0000 0.0000 0.5000

# InBi2Cl6 (GGA-PBE, relaxed)
# **ΔE_f (raw)**: -0.788 eV per atom
data_InBi2Cl6
_chemical_formula_sum 'In4 Bi8 Cl24'
_space_group_name_H-M_alt 'C 1 2/c 1'
_space_group_IT_number 15
_space_group_name_Hall '-C 2yc'
_cell_length_a 12.9090
_cell_length_b 12.9853
_cell_length_c 11.2409
_cell_angle_alpha 90.00
_cell_angle_beta 122.79
_cell_angle_gamma 90.00
loop_
_atom_site_label
_atom_site_type_symbol
_atom_site_fract_x
_atom_site_fract_y
_atom_site_fract_z
In1 In 0.0000 0.0498 0.2500
Bi1 Bi 0.1196 0.4256 0.2153
Cl1 Cl 0.1102 0.2355 0.1659
Cl2 Cl 0.1326 0.4906 0.4891
Cl3 Cl 0.1435 0.0686 0.6054

# BiOsIO2 (GGA-PBE, relaxed)
# **ΔE_f (raw)**: 0.233 eV per atom
# **Excess energy over the best structure of this formula in the dataset**: 0.0 meV per atom
data_BiOsIO2
_chemical_formula_sum 'Bi1 Os1 I1 O2'
_space_group_name_H-M_alt 'P 4/m m m'
_space_group_IT_number 123
_space_group_name_Hall '-P 4 2'
_cell_length_a 4.0098
_cell_length_b 4.0098
_cell_length_c 6.6353
_cell_angle_alpha 90.00
_cell_angle_beta 90.00
_cell_angle_gamma 90.00
loop_
_atom_site_label
_atom_site_type_symbol
_atom_site_fract_x
_atom_site_fract_y
_atom_site_fract_z
Bi1 Bi 0.0000 0.0000 0.0000
Os1 Os 0.5000 0.5000 0.5000
I1 I 0.5000 0.5000 0.0000
O1 O 0.0000 0.5000 0.5000

# CsNa2PPt (GGA-PBE, relaxed)
# **Excess energy over the best structure of this formula in the dataset**: 31.4 meV per atom
# **E_form**: -0.26 eV/atom
data_CsNa2PPt
_chemical_formula_sum 'Cs1 Na2 P1 Pt1'
_space_group_name_H-M_alt 'P 4/m m m'
_space_group_IT_number 123
_space_group_name_Hall '-P 4 2'
_cell_length_a 5.6084
_cell_length_b 5.6084
_cell_length_c 4.5694
_cell_angle_alpha 90.00
_cell_angle_beta 90.00
_cell_angle_gamma 90.00
loop_
_atom_site_label
_atom_site_type_symbol
_atom_site_fract_x
_atom_site_fract_y
_atom_site_fract_z
Cs1 Cs 0.0000 0.0000 0.0000
Na1 Na 0.0000 0.5000 0.5000
P1 P 0.5000 0.5000 0.5000
Pt1 Pt 0.5000 0.5000 0.0000